{
  "formula": "Cs2NiClF",
  "functional": "GGA+U",
  "state": "optimized geometry",
  "final_energy_ev_per_cell": -12.9,
  "dos_at_fermi_per_ev_cell": 0.000,
  "magmom_total_mub_per_fu": 0.00,
  "crystal_system": "tetragonal",
  "cell": [[6.1450, 0.0000, 0.0000], [0.0000, 6.1450, 0.0000], [0.0000, 0.0000, 4.2039]],
  "species": ["Cs", "Cs", "Ni", "Cl", "F"],
  "fractional_positions": [[0.0000, 0.5000, 0.0000], [0.5000, 0.0000, 0.0000], [0.0000, 0.0000, 0.0000], [0.0000, 0.0000, 0.5000], [0.5000, 0.5000, 0.5000]]
}